No. 1
VASP calculation (GGA-PBE) on crystalline NdNpCu2O8 at its relaxed geometry.

The density of states at the Fermi level is 10.11 states/eV/cell. The calculation puts the volume at 13.559 Å³ per atom. The formation energy (no corrections) is -1623 meV/atom. Its spin magnetization is 0.137 μB per atom.

abc: 5.957 5.957 5.957
angles: 109.18 109.18 110.06
Each line ends with the local moment (μB).
Sites, in units of the cell vectors:
Np 0.250 0.750 0.500  -0.05
Cu 0.500 0.500 0.000  0.39
Cu 0.750 0.250 0.500  0.31
O 0.902 0.694 0.208  0.09
O 0.306 0.513 0.208  0.09
O 0.306 0.098 0.792  0.09
O 0.378 0.045 0.333  0.12
O 0.487 0.694 0.792  0.09
O 0.955 0.622 0.667  0.12
O 0.712 0.045 0.667  0.12
O 0.955 0.288 0.333  0.12
Nd 0.000 0.000 0.000  0.02


No. 2
VASP calculation (GGA-PBE) on crystalline ThGa4Ni8 at its relaxed geometry.

The density of states at the Fermi level is 7.67 states/eV/cell. The calculation puts the volume at 13.518 Å³ per atom. The formation energy is -361 meV/atom. Its spin magnetization is 0.000 μB per atom.

abc: 5.090 6.403 6.403
angles: 80.91 66.58 66.58
Sites, in units of the cell vectors:
Ni 0.650 0.350 0.350
Ni 0.000 0.650 0.350
Ni 0.500 0.227 0.773
Ni 0.727 0.773 0.773
Ni 0.500 0.773 0.227
Ni 0.350 0.650 0.650
Ni 0.273 0.227 0.227
Ni 0.000 0.350 0.650
Ga 0.000 0.000 0.500
Ga 0.500 0.500 0.000
Ga 0.000 0.500 0.000
Ga 0.500 0.000 0.500
Th 0.000 0.000 0.000